Compound: VO2F
Source: Alexandria via LeMat-Bulk
Functional: PBE with a Hubbard U
Structure: relaxed

uncorrected energy = -6.76 eV per atom

abc: 5.2388 5.2534 12.7026
angles: 86.81 87.48 60.83
With the nearest neighbours (Å) after each atom.
Space group P-1 (No. 2)
Asymmetric unit:
V (0.0000, 0.0000, 0.0000) (multiplicity 1)  4 O 1.77-1.93, 2 F 1.94
V (0.0000, 0.0000, 0.5000) (multiplicity 1)  4 O 1.81-1.89, 2 F 1.90
V (0.2669, 0.3861, 0.3408) (multiplicity 2)  3 O 1.66-1.83
V (0.3771, 0.3021, 0.8377) (multiplicity 2)  2 O 1.71-1.72, 1 F 1.87
O (0.0418, 0.4631, 0.7264) (multiplicity 2)  1 V 1.66
O (0.0961, 0.2180, 0.9143) (multiplicity 2)  2 V 1.77-1.94
O (0.1830, 0.6288, 0.4406) (multiplicity 2)  2 V 1.74-1.89
O (0.2282, 0.1005, 0.4168) (multiplicity 2)  2 V 1.81-1.83
O (0.3854, 0.8211, 0.0587) (multiplicity 2)  1 V 1.72
O (0.4519, 0.5664, 0.2492) (multiplicity 2)  1 V 1.71
F (0.1401, 0.7036, 0.8949) (multiplicity 2)  2 V 1.94-2.01
F (0.2838, 0.8563, 0.6075) (multiplicity 2)  1 V 1.90
F (0.4750, 0.0610, 0.2234) (multiplicity 2)  1 V 1.87